Run P
A plane-wave DFT calculation with PBE was carried out for SrBi2Sb2 after structural relaxation.

Cell: 14.3033 14.3033 5.1617 Å, 90.00 90.00 162.62°
Closest atoms and distances in Å follow each position.
Atoms (fractional coordinates):
Sr 0.1567 0.8433 0.7500  8 Sb 3.38-3.57, 2 Bi 3.69
Sr 0.8433 0.1567 0.2500  8 Sb 3.38-3.57, 2 Bi 3.69
Bi 0.0632 0.9368 0.2500  2 Sb 3.22, 4 Bi 3.43
Bi 0.4608 0.5392 0.2500  8 Bi 3.40-3.61
Bi 0.5392 0.4608 0.7500  8 Bi 3.40-3.61
Bi 0.9368 0.0632 0.7500  2 Sb 3.22, 4 Bi 3.43
Sb 0.2429 0.7571 0.2500  6 Sb 3.39-3.45, 4 Sr 3.55-3.57
Sb 0.3521 0.6479 0.7500  2 Bi 3.22, 4 Sr 3.38, 2 Sb 3.45
Sb 0.6479 0.3521 0.2500  2 Bi 3.22, 4 Sr 3.38, 2 Sb 3.45
Sb 0.7571 0.2429 0.7500  6 Sb 3.39-3.45, 4 Sr 3.55-3.57

Calculated values
As for the space-group type: Cmcm. Its total moment is 0.000 μB per formula unit.

Run Q
A plane-wave DFT calculation with PBE was carried out for SrBi2Sb2 after structural relaxation.

Cell: 8.8869 8.8869 4.2531 Å, 90.00 90.00 90.00°
Closest atoms and distances in Å follow each position.
Atoms (fractional coordinates):
Sr 0.0000 0.0000 0.0000  4 Sb 3.37
Sr 0.5000 0.5000 0.0000  4 Sb 3.37
Bi 0.1739 0.3261 0.5000  2 Sb 3.05
Bi 0.3261 0.8261 0.5000  2 Sb 3.05
Bi 0.6739 0.1739 0.5000  2 Sb 3.05
Bi 0.8261 0.6739 0.5000  2 Sb 3.05
Sb 0.1520 0.6520 0.0000  2 Bi 3.05, 2 Sr 3.37
Sb 0.3480 0.1520 0.0000  2 Bi 3.05, 2 Sr 3.37
Sb 0.6520 0.8480 0.0000  2 Bi 3.05, 2 Sr 3.37
Sb 0.8480 0.3480 0.0000  2 Bi 3.05, 2 Sr 3.37

Calculated values
As for the space-group type: P4/mbm. Its total moment is 0.000 μB per formula unit.

Energies relative to the most stable structure are run P 0; run Q 55, reported in meV/atom.

Run P
A plane-wave DFT calculation with PBE was carried out for SrBi2Sb2 after structural relaxation.

Cell: 8.6462 8.6462 8.6462 Å, 148.79 148.79 44.72°
Closest atoms and distances in Å follow each position.
Atoms (fractional coordinates):
Sr 0.0000 0.0000 0.0000  8 Sb 3.60
Bi 0.2500 0.7500 0.5000  4 Bi 3.29, 4 Sb 3.45
Bi 0.7500 0.2500 0.5000  4 Bi 3.29, 4 Sb 3.45
Sb 0.4090 0.4090 0.0000  1 Sb 2.91
Sb 0.5910 0.5910 0.0000  1 Sb 2.91

Calculated values
As for the space-group type: I4/mmm. Its total moment is 0.000 μB per formula unit.

Run Q
A plane-wave DFT calculation with PBE was carried out for SrBi2Sb2 after structural relaxation.

Cell: 8.9854 8.9854 4.1989 Å, 90.00 90.00 90.00°
Closest atoms and distances in Å follow each position.
Atoms (fractional coordinates):
Sr 0.0000 0.0000 0.0000  4 Bi 3.49, 8 Sb 3.87
Sr 0.5000 0.5000 0.0000  4 Bi 3.49, 8 Sb 3.87
Bi 0.1354 0.3646 0.0000  2 Sb 3.01
Bi 0.3646 0.8646 0.0000  2 Sb 3.01
Bi 0.6354 0.1354 0.0000  2 Sb 3.01
Bi 0.8646 0.6354 0.0000  2 Sb 3.01
Sb 0.1952 0.6952 0.5000  2 Bi 3.01
Sb 0.3048 0.1952 0.5000  2 Bi 3.01
Sb 0.6952 0.8048 0.5000  2 Bi 3.01
Sb 0.8048 0.3048 0.5000  2 Bi 3.01

Calculated values
As for the space-group type: P4/mbm. Its total moment is 0.000 μB per formula unit.

Run R
A plane-wave DFT calculation with PBE was carried out for SrBi2Sb2 after structural relaxation.

Cell: 8.8281 8.8281 8.8281 Å, 149.93 149.93 43.05°
Closest atoms and distances in Å follow each position.
Atoms (fractional coordinates):
Sr 0.0000 0.0000 0.0000  8 Bi 3.59
Bi 0.4052 0.4052 0.0000  1 Bi 3.11, 4 Sb 3.43
Bi 0.5948 0.5948 0.0000  1 Bi 3.11, 4 Sb 3.43
Sb 0.2500 0.7500 0.5000  4 Sb 3.24, 4 Bi 3.43
Sb 0.7500 0.2500 0.5000  4 Sb 3.24, 4 Bi 3.43

Calculated values
As for the space-group type: I4/mmm. Its total moment is 0.000 μB per formula unit.

Energies relative to the most stable structure are run P 0; run Q 10; run R 99, reported in meV/atom.

Run P
A plane-wave DFT calculation with PBE was carried out for Sr3BiSb after structural relaxation.

Cell: 6.1554 6.1554 6.1554 Å, 90.00 90.00 90.00°
Closest atoms and distances in Å follow each position.
Atoms (fractional coordinates):
Sr 0.0000 0.0000 0.5000  2 Sb 3.08
Sr 0.0000 0.5000 0.0000  2 Sb 3.08
Sr 0.5000 0.0000 0.0000  2 Sb 3.08
Bi 0.5000 0.5000 0.5000  12 Sr 4.35
Sb 0.0000 0.0000 0.0000  6 Sr 3.08

Calculated values
As for the space-group type: Pm-3m. Its total moment is 0.000 μB per formula unit.

Run Q
A plane-wave DFT calculation with PBE was carried out for Sr3BiSb after structural relaxation.

Cell: 9.8629 9.8629 4.7305 Å, 90.00 90.00 112.87°
Closest atoms and distances in Å follow each position.
Atoms (fractional coordinates):
Sr 0.1430 0.8570 0.0000  2 Sb 3.24, 2 Bi 3.33
Sr 0.1993 0.4337 0.4992  2 Sb 3.30, 2 Bi 3.65
Sr 0.4337 0.1993 0.5008  2 Sb 3.30, 2 Bi 3.65
Sr 0.5663 0.8007 0.5008  2 Sb 3.30, 2 Bi 3.65
Sr 0.8007 0.5663 0.4992  2 Sb 3.30, 2 Bi 3.65
Sr 0.8570 0.1430 0.0000  2 Sb 3.24, 2 Bi 3.33
Bi 0.0000 0.0000 0.5000  4 Sr 3.33
Bi 0.5000 0.5000 0.0000  8 Sr 3.65
Sb 0.0000 0.5000 0.9991  6 Sr 3.24-3.30
Sb 0.5000 0.0000 0.0009  6 Sr 3.24-3.30

Calculated values
As for the space-group type: C222. Its total moment is 0.000 μB per formula unit.

Run R
A plane-wave DFT calculation with PBE was carried out for Sr3BiSb after structural relaxation.

Cell: 9.7210 9.0274 9.2838 Å, 90.00 99.25 90.00°
Closest atoms and distances in Å follow each position.
Atoms (fractional coordinates):
Sr 0.0615 0.0115 0.2199  4 Sb 3.29-3.42, 1 Bi 3.43
Sr 0.0615 0.4885 0.7199  4 Sb 3.29-3.42, 1 Bi 3.43
Sr 0.2758 0.1103 0.5906  2 Sb 3.38-3.60, 3 Bi 3.49-3.53
Sr 0.2758 0.3897 0.0906  2 Sb 3.38-3.60, 3 Bi 3.49-3.53
Sr 0.3769 0.7004 0.4849  1 Sb 3.24, 3 Bi 3.52-3.53
Sr 0.3769 0.7996 0.9849  1 Sb 3.24, 3 Bi 3.52-3.53
Sr 0.6231 0.2004 0.0151  1 Sb 3.24, 3 Bi 3.52-3.53
Sr 0.6231 0.2996 0.5151  1 Sb 3.24, 3 Bi 3.52-3.53
Sr 0.7242 0.6103 0.9094  2 Sb 3.38-3.60, 3 Bi 3.49-3.53
Sr 0.7242 0.8897 0.4094  2 Sb 3.38-3.60, 3 Bi 3.49-3.53
Sr 0.9385 0.5115 0.2801  4 Sb 3.29-3.42, 1 Bi 3.43
Sr 0.9385 0.9885 0.7801  4 Sb 3.29-3.42, 1 Bi 3.43
Bi 0.4150 0.0683 0.2643  7 Sr 3.43-3.53
Bi 0.4150 0.4317 0.7643  7 Sr 3.43-3.53
Bi 0.5850 0.5683 0.2357  7 Sr 3.43-3.53
Bi 0.5850 0.9317 0.7357  7 Sr 3.43-3.53
Sb 0.0598 0.7132 0.0151  7 Sr 3.24-3.60
Sb 0.0598 0.7868 0.5151  7 Sr 3.24-3.60
Sb 0.9402 0.2132 0.4849  7 Sr 3.24-3.60
Sb 0.9402 0.2868 0.9849  7 Sr 3.24-3.60

Calculated values
As for the space-group type: P2_1/c. Its total moment is 0.000 μB per formula unit.

Energies relative to the most stable structure are run P 299; run Q 80; run R 0, reported in meV/atom.

Run P
A plane-wave DFT calculation with PBE was carried out for SrBi3Sb after structural relaxation.

Cell: 11.9041 11.9041 11.9041 Å, 149.54 149.54 43.61°
Closest atoms and distances in Å follow each position.
Atoms (fractional coordinates):
Sr 0.2070 0.2070 0.0000  2 Sb 3.27, 2 Bi 3.62
Sr 0.7930 0.7930 0.0000  2 Sb 3.27, 2 Bi 3.62
Bi 0.3667 0.6190 0.7476  2 Sb 3.07-3.28, 2 Bi 3.10-3.16
Bi 0.3810 0.1286 0.7476  2 Sb 3.07-3.28, 2 Bi 3.10-3.16
Bi 0.3810 0.6333 0.2524  2 Sb 3.07-3.28, 2 Bi 3.10-3.16
Bi 0.6242 0.1242 0.5000  4 Bi 3.50, 2 Sr 3.62
Bi 0.8714 0.6190 0.2524  2 Sb 3.07-3.28, 2 Bi 3.10-3.16
Bi 0.8758 0.3758 0.5000  4 Bi 3.50, 2 Sr 3.62
Sb 0.2500 0.7500 0.5000  4 Sr 3.27, 4 Bi 3.28
Sb 0.5000 0.5000 0.0000  4 Bi 3.07

Calculated values
As for the space-group type: I-4m2. Its total moment is 0.000 μB per formula unit.

Run Q
A plane-wave DFT calculation with PBE was carried out for SrBi3Sb after structural relaxation.

Cell: 6.0492 6.0492 6.0492 Å, 90.00 90.00 90.00°
Closest atoms and distances in Å follow each position.
Atoms (fractional coordinates):
Sr 0.0000 0.0000 0.0000  6 Bi 3.02
Bi 0.0000 0.0000 0.5000  2 Sr 3.02
Bi 0.0000 0.5000 0.0000  2 Sr 3.02
Bi 0.5000 0.0000 0.0000  2 Sr 3.02
Sb 0.5000 0.5000 0.5000  12 Bi 4.28

Calculated values
As for the space-group type: Pm-3m. Its total moment is 0.000 μB per formula unit.

Run R
A plane-wave DFT calculation with PBE was carried out for SrBi3Sb after structural relaxation.

Cell: 5.8964 5.8964 5.8964 Å, 90.00 90.00 90.00°
Closest atoms and distances in Å follow each position.
Atoms (fractional coordinates):
Sr 0.0000 0.0000 0.0000  12 Bi 4.17
Bi 0.0000 0.5000 0.5000  2 Sb 2.95
Bi 0.5000 0.0000 0.5000  2 Sb 2.95
Bi 0.5000 0.5000 0.0000  2 Sb 2.95
Sb 0.5000 0.5000 0.5000  6 Bi 2.95

Calculated values
As for the space-group type: Pm-3m. Its total moment is 0.000 μB per formula unit.

Energies relative to the most stable structure are run P 0; run Q 949; run R 253, reported in meV/atom.

Run P
A plane-wave DFT calculation with PBE was carried out for Sr2BiSb2 after structural relaxation.

Cell: 9.2549 9.2549 3.9816 Å, 90.00 90.00 90.00°
Closest atoms and distances in Å follow each position.
Atoms (fractional coordinates):
Sr 0.1348 0.3652 0.0000  6 Sb 3.22-3.48, 1 Sr 3.53, 2 Bi 3.60
Sr 0.3652 0.8652 0.0000  6 Sb 3.22-3.48, 1 Sr 3.53, 2 Bi 3.60
Sr 0.6348 0.1348 0.0000  6 Sb 3.22-3.48, 1 Sr 3.53, 2 Bi 3.60
Sr 0.8652 0.6348 0.0000  6 Sb 3.22-3.48, 1 Sr 3.53, 2 Bi 3.60
Bi 0.0000 0.0000 0.0000  4 Sr 3.60, 8 Sb 3.97, 2 Bi 3.98
Bi 0.5000 0.5000 0.0000  4 Sr 3.60, 8 Sb 3.97, 2 Bi 3.98
Sb 0.1716 0.6716 0.5000  6 Sr 3.22-3.48
Sb 0.3284 0.1716 0.5000  6 Sr 3.22-3.48
Sb 0.6716 0.8284 0.5000  6 Sr 3.22-3.48
Sb 0.8284 0.3284 0.5000  6 Sr 3.22-3.48

Calculated values
As for the space-group type: P4/mbm. Its total moment is 0.000 μB per formula unit.

Run Q
A plane-wave DFT calculation with PBE was carried out for Sr2BiSb2 after structural relaxation.

Cell: 6.8799 6.8799 13.7003 Å, 116.44 116.44 38.60°
Closest atoms and distances in Å follow each position.
Atoms (fractional coordinates):
Sr 0.0745 0.0745 0.4084  3 Sb 3.40-3.41, 2 Bi 3.56
Sr 0.3317 0.3317 0.8230  6 Sb 3.44-3.63, 3 Bi 3.61-3.71
Sr 0.6683 0.6683 0.1770  6 Sb 3.44-3.63, 3 Bi 3.61-3.71
Sr 0.9255 0.9255 0.5916  3 Sb 3.40-3.41, 2 Bi 3.56
Bi 0.3931 0.3931 0.1965  3 Sb 3.09-3.18
Bi 0.6069 0.6069 0.8035  3 Sb 3.09-3.18
Sb 0.0776 0.0776 0.9509  1 Sb 2.90, 2 Bi 3.18
Sb 0.3230 0.3230 0.3827  1 Bi 3.09, 5 Sr 3.40-3.44
Sb 0.6770 0.6770 0.6173  1 Bi 3.09, 5 Sr 3.40-3.44
Sb 0.9224 0.9224 0.0491  1 Sb 2.90, 2 Bi 3.18

Calculated values
As for the space-group type: C2/m. Its total moment is 0.000 μB per formula unit.

Run R
A plane-wave DFT calculation with PBE was carried out for Sr2BiSb2 after structural relaxation.

Cell: 6.4756 6.4756 6.4756 Å, 119.96 119.96 90.07°
Closest atoms and distances in Å follow each position.
Atoms (fractional coordinates):
Sr 0.2500 0.7500 0.5000  4 Sb 3.34
Sr 0.7500 0.2500 0.5000  4 Sb 3.34
Bi 0.0000 0.0000 0.0000  2 Sb 3.10
Sb 0.3390 0.3390 0.0000  1 Sb 2.95, 1 Bi 3.10
Sb 0.6610 0.6610 0.0000  1 Sb 2.95, 1 Bi 3.10

Calculated values
As for the space-group type: I4/mmm. Its total moment is 0.000 μB per formula unit.

Energies relative to the most stable structure are run P 225; run Q 0; run R 151, reported in meV/atom.